(1)
# TcRu6W | Alexandria | GGA-PBE | optimized geometry
# Calculated volume = 114 Å³ per cell
# Crystal system = tetragonal
# Raw total energy = -9.851 eV per atom
# Energy of formation from the pure elements = 16 kJ/mol of formula units
data_TcRu6W
_chemical_formula_sum 'Tc1 Ru6 W1'
_symmetry_space_group_name_H-M 'P 4/m m m'
_symmetry_Int_Tables_number 123
_symmetry_space_group_name_Hall '-P 4 2'
_cell_length_a 5.442
_cell_length_b 5.442
_cell_length_c 3.855
_cell_angle_alpha 90.00
_cell_angle_beta 90.00
_cell_angle_gamma 90.00
loop_
_atom_site_label
_atom_site_fract_x
_atom_site_fract_y
_atom_site_fract_z
Tc1 0.000 0.000 0.000
Ru1 0.000 0.500 0.000
Ru2 0.247 0.247 0.500
W1 0.500 0.500 0.000


(2)
# Ho2PuInC | Alexandria | GGA-PBE | optimized geometry
# Calculated volume = 116 Å³ per cell
# Crystal system = tetragonal
# Raw total energy = -7.423 eV per atom
# Energy of formation from the pure elements = -161 kJ/mol of formula units
data_Ho2PuInC
_chemical_formula_sum 'Ho2 Pu1 In1 C1'
_symmetry_space_group_name_H-M 'P 4/m m m'
_symmetry_Int_Tables_number 123
_symmetry_space_group_name_Hall '-P 4 2'
_cell_length_a 4.950
_cell_length_b 4.950
_cell_length_c 4.720
_cell_angle_alpha 90.00
_cell_angle_beta 90.00
_cell_angle_gamma 90.00
loop_
_atom_site_label
_atom_site_fract_x
_atom_site_fract_y
_atom_site_fract_z
Ho1 0.000 0.500 0.000
Pu1 0.000 0.000 0.500
In1 0.500 0.500 0.500
C1 0.000 0.000 0.000


(3)
# Na5Th3Sb12 | Alexandria | GGA-PBE | optimized geometry
# Formation energy without anion corrections = -0.275 eV/atom
# Calculated volume = 6586 Å³ per cell
# Crystal system = cubic
# Raw total energy = -4.191 eV per atom
data_Na5Th3Sb12
_chemical_formula_sum 'Na40 Th24 Sb96'
_symmetry_space_group_name_H-M 'I a -3 d'
_symmetry_Int_Tables_number 230
_symmetry_space_group_name_Hall '-I 4bd 2c 3'
_cell_length_a 18.744
_cell_length_b 18.744
_cell_length_c 18.744
_cell_angle_alpha 90.00
_cell_angle_beta 90.00
_cell_angle_gamma 90.00
loop_
_atom_site_label
_atom_site_fract_x
_atom_site_fract_y
_atom_site_fract_z
Na1 0.000 0.000 0.000
Na2 0.000 0.250 0.375
Th1 0.000 0.250 0.125
Sb1 0.001 0.084 0.161


(4)
# Er5In2Bi | Alexandria | GGA-PBE | optimized geometry
# Calculated volume = 906 Å³ per cell
# Crystal system = tetragonal
# Raw total energy = -4.472 eV per atom
# Energy of formation from the pure elements = -348 kJ/mol of formula units
data_Er5In2Bi
_chemical_formula_sum 'Er20 In8 Bi4'
_symmetry_space_group_name_H-M 'I 4/m c m'
_symmetry_Int_Tables_number 140
_symmetry_space_group_name_Hall '-I 4 2c'
_cell_length_a 8.392
_cell_length_b 8.392
_cell_length_c 12.863
_cell_angle_alpha 90.00
_cell_angle_beta 90.00
_cell_angle_gamma 90.00
loop_
_atom_site_label
_atom_site_fract_x
_atom_site_fract_y
_atom_site_fract_z
Er1 0.000 0.000 0.000
Er2 0.151 0.349 0.149
In1 0.148 0.352 0.500
Bi1 0.000 0.000 0.250